(1)
Computed, not measured: crystalline TlCuMoPt at its relaxed geometry at the PBE level of DFT.

Values from the calculation:
Uncorrected energy   -21.37 eV/f.u.
Spin magnetization   0.3568 μB per atom

```
TlCuMoPt
1.0
0.000 3.226 3.226
3.226 0.000 3.226
3.226 3.226 0.000
Tl Cu Pt Mo
1 1 1 1
Cartesian
0.000 0.000 0.000 Tl
4.840 4.840 4.840 Cu
3.226 3.226 3.226 Pt
1.613 1.613 1.613 Mo
```

(2)
Computed, not measured: crystalline NbCuReSb at its relaxed geometry at the PBE level of DFT.

Values from the calculation:
Uncorrected energy   -28.86 eV/f.u.
Spin magnetization   0.0054 μB per atom

```
NbCuReSb
1.0
0.000 3.196 3.196
3.196 0.000 3.196
3.196 3.196 0.000
Nb Sb Cu Re
1 1 1 1
Cartesian
0.000 0.000 0.000 Nb
1.598 1.598 1.598 Sb
4.793 4.793 4.793 Cu
3.196 3.196 3.196 Re
```

(3)
Computed, not measured: crystalline ZnWAu2 at its relaxed geometry at the PBE level of DFT.

Values from the calculation:
Uncorrected energy   -18.68 eV/f.u.
Spin magnetization   0.3428 μB per atom

```
ZnWAu2
1.0
0.000 3.216 3.216
3.216 0.000 3.216
3.216 3.216 0.000
Au W Zn
2 1 1
Cartesian
1.608 1.608 1.608 Au
0.000 0.000 0.000 Au
4.824 4.824 4.824 W
3.216 3.216 3.216 Zn
```

(4)
Computed, not measured: crystalline TaNb3As2C2 at its relaxed geometry at the PBE level of DFT.

Values from the calculation:
Uncorrected energy   -74.81 eV/f.u.
Spin magnetization   0.0006 μB per atom

```
TaNb3As2C2
1.0
-0.044 1.477 -2.996
2.249 -2.381 0.655
-7.672 -8.346 -4.001
Nb C As Ta
3 2 2 1
Cartesian
-3.079 -6.059 -2.942 Nb
-2.392 -3.195 -3.402 Nb
-0.005 -0.598 -2.157 Nb
-3.838 -4.175 -2.001 C
-7.654 -8.326 -3.991 C
-5.043 -6.079 -4.784 As
-0.434 -3.182 -1.562 As
-5.468 -8.658 -4.187 Ta
```

(5)
Computed, not measured: crystalline Mo2Pd3Se2 at its relaxed geometry at the PBE level of DFT.

Values from the calculation:
Uncorrected energy   -43.18 eV/f.u.
Spin magnetization   0.0025 μB per atom

```
Mo2Pd3Se2
1.0
2.163 3.841 5.198
-3.945 5.523 0.619
-2.824 -5.176 1.865
Pd Mo Se
6 4 4
Cartesian
-3.744 5.224 6.913 Pd
-3.384 0.174 1.242 Pd
-1.210 1.793 4.661 Pd
-0.862 -1.036 0.769 Pd
-3.397 2.395 3.021 Pd
-0.331 -0.667 3.532 Pd
-0.915 1.530 1.783 Mo
-3.691 2.658 5.899 Mo
-1.641 4.605 3.881 Mo
-2.965 -0.417 3.801 Mo
0.572 2.859 3.425 Se
-2.306 0.537 6.411 Se
-2.300 3.651 1.271 Se
-5.179 1.329 4.257 Se
```

(6)
Computed, not measured: crystalline SrBeSnPd at its relaxed geometry at the PBE level of DFT.

Values from the calculation:
Uncorrected energy   -14.29 eV/f.u.

```
SrBeSnPd
1.0
-1.987 3.193 3.197
-3.002 3.568 -1.619
-4.829 -0.194 1.003
Sr Be Pd Sn
1 1 1 1
Cartesian
-2.455 1.642 0.645 Sr
-7.364 4.926 1.936 Be
-4.909 3.284 1.291 Pd
0.000 0.000 0.000 Sn
```

Q: Which value of uncorrected energy does entry 3 give?
A: -18.68 eV/f.u.

Q: Which value of uncorrected energy does entry 1 give?
A: -21.37 eV/f.u.

Q: uncorrected energy of number 5 (Mo2Pd3Se2)?
A: -43.18 eV/f.u.

Please write out number 1 again, unchanged.
Computed, not measured: crystalline TlCuMoPt at its relaxed geometry at the PBE level of DFT.

Values from the calculation:
Uncorrected energy   -21.37 eV/f.u.
Spin magnetization   0.3568 μB per atom

```
TlCuMoPt
1.0
0.000 3.226 3.226
3.226 0.000 3.226
3.226 3.226 0.000
Tl Cu Pt Mo
1 1 1 1
Cartesian
0.000 0.000 0.000 Tl
4.840 4.840 4.840 Cu
3.226 3.226 3.226 Pt
1.613 1.613 1.613 Mo
```